Record 1
SeS2ICl: optimized geometry, GGA-PBE.

Values from the calculation:
E_form (uncorrected) in eV per atom: 0.56

Unit cell a=4.996 b=4.996 c=4.874 alpha=90.00 beta=90.00 gamma=90.00
Space group P4/mmm (No. 123)
Asymmetric unit:
Se 0.000 0.000 0.000 x1
S 0.000 0.500 0.000 x2
I 0.500 0.500 0.500 x1
Cl 0.000 0.000 0.500 x1

Record 2
SiS2ICl: optimized geometry, GGA-PBE.

Values from the calculation:
E_form (uncorrected) in eV per atom: 0.99

Unit cell a=5.149 b=5.149 c=5.297 alpha=90.00 beta=90.00 gamma=90.00
Space group P4/mmm (No. 123)
Asymmetric unit:
Si 0.000 0.000 0.000 x1
S 0.000 0.500 0.500 x2
I 0.500 0.500 0.500 x1
Cl 0.500 0.500 0.000 x1

Respective offset from the most stable computed form values: 0, 354 kJ/mol of formula units.